Record 1
6
Lattice="7.776 -1.775 0.000 7.776 1.775 0.000 -0.388 0.000 5.513" Properties=species:S:1:pos:R:3 comment="ErHfU | the Alexandria database | PBE | relaxed" formation_energy_ev_per_atom=0.226 e_tot_ev_per_atom=-8.38 pbc="T T T"
Er 1.322 0.000 1.865
Er 13.842 0.000 3.648
Hf 6.507 0.000 0.879
Hf 8.657 0.000 4.634
U 3.423 0.000 4.631
U 11.740 0.000 0.881

---

Record 2
5
Lattice="6.932 0.000 0.000 0.000 6.932 0.000 0.000 0.000 5.782" Properties=species:S:1:pos:R:3 comment="CsK2CdIn | the Alexandria database | PBE | relaxed" formation_energy_ev_per_atom=0.030 e_tot_ev_per_atom=-1.31 pbc="T T T"
Cs 0.000 0.000 0.000
K 0.000 3.466 2.891
K 3.466 0.000 2.891
Cd 3.466 3.466 0.000
In 3.466 3.466 2.891

---

Record 3
8
Lattice="5.984 0.000 0.000 0.000 3.379 0.000 -2.009 0.000 5.639" Properties=species:S:1:pos:R:3 comment="Ca2NdTaN4 | the Alexandria database | PBE | relaxed" e_tot_ev_per_atom=-7.91 pbc="T T T"
Ca 0.000 0.000 0.000
Ca -1.004 1.689 2.819
Nd 1.988 0.000 2.819
Ta 2.992 1.689 0.000
N 0.119 0.000 4.424
N 1.262 1.689 1.224
N 2.714 1.689 4.414
N 3.857 0.000 1.215

---

Record 4
4
Lattice="0.000 3.566 3.566 3.566 0.000 3.566 3.566 3.566 0.000" Properties=species:S:1:pos:R:3 comment="PrThIrRh | the Alexandria database | PBE | relaxed" formation_energy_ev_per_atom=-0.673 e_tot_ev_per_atom=-7.78 e_above_lowest_polymorph_mev_per_atom=156 pbc="T T T"
Pr 0.000 0.000 0.000
Th 3.566 3.566 3.566
Ir 1.783 1.783 1.783
Rh 5.349 5.349 5.349

---

Record 5
4
Lattice="1.735 1.002 12.169 -1.735 1.002 12.169 0.000 -2.003 12.169" Properties=species:S:1:pos:R:3 comment="SrYSc2 | the Alexandria database | PBE | relaxed" formation_energy_ev_per_atom=0.340 e_tot_ev_per_atom=-4.86 e_above_lowest_polymorph_mev_per_atom=191 pbc="T T T"
Sr 0.000 0.000 0.000
Y 0.000 0.000 18.254
Sc 0.000 0.000 3.378
Sc 0.000 0.000 33.130

---

Record 6
5
Lattice="3.998 0.000 0.000 0.000 3.998 0.000 0.000 0.000 3.699" Properties=species:S:1:pos:R:3 comment="PrReHN2 | the Alexandria database | PBE | relaxed" e_tot_ev_per_atom=-8.09 pbc="T T T"
Pr 0.000 0.000 0.000
Re 1.999 1.999 1.850
H 1.999 1.999 0.000
N 0.000 1.999 1.850
N 1.999 0.000 1.850

---

Record 7
21
Lattice="5.913 0.000 0.000 2.665 6.495 0.000 0.547 2.186 8.640" Properties=species:S:1:pos:R:3 comment="K2CaNd4Nb2O12 | the Alexandria database | PBE | relaxed" e_tot_ev_per_atom=-7.61 e_above_lowest_polymorph_mev_per_atom=43 pbc="T T T"
K 0.000 0.000 0.000
K 2.758 5.531 7.286
Ca 3.735 2.664 0.950
Nd 3.030 4.279 3.776
Nd 5.961 6.291 2.554
Nd 5.914 5.314 5.980
Nd 6.219 1.477 4.621
Nb 3.280 2.248 6.721
Nb 6.479 3.056 1.705
O 1.813 3.314 5.727
O 2.054 2.102 2.631
O 4.654 7.296 6.739
O 4.431 6.095 4.273
O 3.425 2.933 8.475
O 4.746 4.393 1.913
O 4.485 3.444 5.549
O 6.196 4.931 8.401
O 7.380 7.486 6.533
O 5.154 1.568 2.391
O 7.431 5.944 4.333
O 7.594 4.640 1.659

---

Record 8
12
Lattice="3.630 0.000 0.000 -1.815 3.144 0.000 0.000 0.000 30.499" Properties=species:S:1:pos:R:3 comment="Tl4Hg7Pb | the Alexandria database | PBE | relaxed" formation_energy_ev_per_atom=0.004 e_tot_ev_per_atom=-1.27 e_above_lowest_polymorph_mev_per_atom=0 pbc="T T T"
Tl 0.000 2.096 5.109
Tl 0.000 2.096 12.623
Tl 1.815 1.048 17.876
Tl 1.815 1.048 25.390
Hg 0.000 0.000 7.702
Hg 0.000 0.000 15.250
Hg 0.000 0.000 22.797
Hg 0.000 2.096 20.449
Hg 0.000 2.096 27.949
Hg 1.815 1.048 2.550
Hg 1.815 1.048 10.050
Pb 0.000 0.000 0.000

---

Record 9
18
Lattice="8.211 0.000 0.000 -4.105 7.111 0.000 0.000 0.000 5.693" Properties=species:S:1:pos:R:3 comment="Cd5Pt4 | the Alexandria database | PBE | relaxed" formation_energy_ev_per_atom=-0.197 e_tot_ev_per_atom=-3.39 e_above_lowest_polymorph_mev_per_atom=25 pbc="T T T"
Cd -1.207 2.090 1.423
Cd -2.899 5.021 4.270
Cd 2.413 0.000 1.423
Cd 1.207 2.090 4.270
Cd 0.000 4.740 0.000
Cd 0.000 4.740 2.847
Cd 4.105 2.370 0.000
Cd 4.105 2.370 2.847
Cd 5.798 0.000 4.270
Cd 2.899 5.021 1.423
Pt 0.000 0.000 0.000
Pt 0.000 0.000 2.847
Pt -1.532 2.653 4.270
Pt -2.574 4.458 1.423
Pt 3.063 0.000 4.270
Pt 1.532 2.653 1.423
Pt 5.147 0.000 1.423
Pt 2.574 4.458 4.270

---

Record 10
8
Lattice="5.548 0.000 0.000 0.000 5.548 0.000 0.000 0.000 3.948" Properties=species:S:1:pos:R:3 comment="UAlRh6 | the Alexandria database | PBE | relaxed" formation_energy_ev_per_atom=-0.586 e_tot_ev_per_atom=-7.98 pbc="T T T"
U 0.000 0.000 0.000
Al 2.774 2.774 0.000
Rh 0.000 2.774 0.000
Rh 1.405 1.405 1.974
Rh 1.405 4.143 1.974
Rh 2.774 0.000 0.000
Rh 4.143 1.405 1.974
Rh 4.143 4.143 1.974

---

Record 11
5
Lattice="5.699 0.000 0.000 0.000 5.699 0.000 0.000 0.000 5.699" Properties=species:S:1:pos:R:3 comment="ScIn3Hg | the Alexandria database | PBE | relaxed" formation_energy_ev_per_atom=0.437 e_tot_ev_per_atom=-2.53 e_above_lowest_polymorph_mev_per_atom=0 pbc="T T T"
Sc 0.000 0.000 0.000
In 0.000 0.000 2.850
In 0.000 2.850 0.000
In 2.850 0.000 0.000
Hg 2.850 2.850 2.850

---

Record 12
14
Lattice="-3.763 3.763 4.502 3.763 -3.763 4.502 3.763 3.763 -4.502" Properties=species:S:1:pos:R:3 comment="Ag5Pd8Pb | the Alexandria database | PBE | relaxed" formation_energy_ev_per_atom=0.057 e_tot_ev_per_atom=-4.19 pbc="T T T"
Ag 0.000 0.000 0.000
Ag 2.705 2.120 -0.560
Ag 1.642 -1.058 5.062
Ag 1.058 1.642 3.941
Ag 2.120 4.821 0.560
Pd 1.213 -0.640 2.336
Pd 2.550 4.403 -2.165
Pd 0.569 2.479 1.226
Pd 3.123 2.550 2.165
Pd -1.284 3.194 3.276
Pd -0.569 5.047 1.226
Pd 0.640 1.213 6.667
Pd 1.284 4.332 3.276
Pb 3.763 0.000 2.251

---

Record 13
4
Lattice="4.399 -2.168 0.000 4.399 2.168 0.000 -2.097 0.000 6.173" Properties=species:S:1:pos:R:3 comment="BaAl2Sb | the Alexandria database | PBE | relaxed" e_tot_ev_per_atom=-3.68 pbc="T T T"
Ba 0.000 0.000 0.000
Al 3.289 0.000 2.583
Al 6.032 0.000 2.166
Sb 0.613 0.000 3.822

---

Record 14
4
Lattice="4.021 0.000 0.000 0.000 1.401 5.191 0.000 -1.401 5.191" Properties=species:S:1:pos:R:3 comment="Re2SiPt | the Alexandria database | PBE | relaxed" e_tot_ev_per_atom=-9.23 pbc="T T T"
Re 0.000 0.000 0.000
Re 2.011 0.000 3.970
Si 2.011 0.000 6.382
Pt 0.000 0.000 7.686

---

Record 15
4
Lattice="0.000 3.742 3.742 3.742 0.000 3.742 3.742 3.742 0.000" Properties=species:S:1:pos:R:3 comment="CeErHfSc | the Alexandria database | PBE | relaxed" formation_energy_ev_per_atom=0.195 e_tot_ev_per_atom=-6.50 pbc="T T T"
Ce 0.000 0.000 0.000
Er 3.742 3.742 3.742
Hf 5.613 5.613 5.613
Sc 1.871 1.871 1.871

---

Record 16
4
Lattice="2.931 0.000 0.000 0.000 2.931 0.000 0.000 0.000 7.900" Properties=species:S:1:pos:R:3 comment="AsRu | the Alexandria database | PBE | relaxed" formation_energy_ev_per_atom=-0.056 e_tot_ev_per_atom=-7.02 pbc="T T T"
As 0.733 0.733 1.511
As 2.198 2.198 6.390
Ru 0.733 0.733 4.893
Ru 2.198 2.198 3.008

---

Record 17
8
Lattice="6.739 -2.539 0.000 6.739 2.539 0.000 -2.872 0.000 5.547" Properties=species:S:1:pos:R:3 comment="AlHSe2 | the Alexandria database | PBE | relaxed" e_tot_ev_per_atom=-4.05 e_above_lowest_polymorph_mev_per_atom=18 pbc="T T T"
Al 6.739 2.538 0.000
Al 5.303 -2.538 2.773
H 9.090 0.135 3.002
H 10.526 -0.135 0.228
Se 4.680 1.280 0.693
Se 5.620 1.191 4.695
Se 3.244 -1.280 3.466
Se 7.055 -1.191 1.922

---

Record 18
5
Lattice="6.730 0.000 0.000 0.000 6.730 0.000 0.000 0.000 4.256" Properties=species:S:1:pos:R:3 comment="Cs2VRuN | the Alexandria database | PBE | relaxed" e_tot_ev_per_atom=-3.71 e_above_lowest_polymorph_mev_per_atom=680 pbc="T T T"
Cs 0.000 3.365 0.000
Cs 3.365 0.000 0.000
V 0.000 0.000 0.000
Ru 0.000 0.000 2.128
N 3.365 3.365 2.128

---

Record 19
12
Lattice="-3.118 8.032 3.130 3.118 -8.032 3.130 3.118 8.032 -3.130" Properties=species:S:1:pos:R:3 comment="LiCa2MgHg2 | the Alexandria database | PBE | relaxed" formation_energy_ev_per_atom=-0.401 e_tot_ev_per_atom=-1.75 pbc="T T T"
Li 0.000 0.000 1.565
Li 0.000 0.000 4.695
Ca 1.547 2.824 0.000
Ca 1.547 -2.824 3.130
Ca 1.571 10.856 0.000
Ca 1.571 5.208 3.130
Mg 3.118 0.000 1.565
Mg 0.000 8.032 1.565
Hg 4.695 1.934 0.000
Hg 1.578 6.098 0.000
Hg 1.540 1.934 3.130
Hg -1.578 6.098 3.130

---

Record 20
32
Lattice="3.579 -5.065 0.000 3.579 5.065 0.000 0.000 0.000 10.136" Properties=species:S:1:pos:R:3 comment="Co6NiIr | the Alexandria database | PBE | relaxed" formation_energy_ev_per_atom=0.029 e_tot_ev_per_atom=-7.13 e_above_lowest_polymorph_mev_per_atom=27 pbc="T T T"
Co 0.000 0.000 0.000
Co 0.000 0.000 5.068
Co 1.756 1.287 1.235
Co 1.756 1.287 8.901
Co 1.759 1.248 3.769
Co 1.759 1.248 6.367
Co 3.579 2.562 2.483
Co 3.579 2.562 7.653
Co 1.759 -1.248 3.769
Co 1.759 -1.248 6.367
Co 1.756 -1.287 1.235
Co 1.756 -1.287 8.901
Co 3.579 0.000 0.000
Co 3.579 0.000 5.068
Co 5.403 1.287 1.235
Co 5.403 1.287 8.901
Co 5.399 1.248 3.769
Co 5.399 1.248 6.367
Co 3.579 -2.562 2.483
Co 3.579 -2.562 7.653
Co 5.399 -1.248 3.769
Co 5.399 -1.248 6.367
Co 5.403 -1.287 1.235
Co 5.403 -1.287 8.901
Ni 0.000 0.000 2.502
Ni 0.000 0.000 7.634
Ni 3.579 2.513 0.000
Ni 3.579 -2.513 0.000
Ir 3.579 2.522 5.068
Ir 3.579 0.000 2.510
Ir 3.579 0.000 7.627
Ir 3.579 -2.522 5.068

---

Record 21
5
Lattice="4.567 0.000 0.000 0.000 4.567 0.000 0.000 0.000 4.061" Properties=species:S:1:pos:R:3 comment="LiTcSn2Os | the Alexandria database | PBE | relaxed" formation_energy_ev_per_atom=1.169 e_tot_ev_per_atom=-5.13 pbc="T T T"
Li 0.000 0.000 0.000
Tc 0.000 0.000 2.031
Sn 0.000 2.283 0.000
Sn 2.283 0.000 0.000
Os 2.283 2.283 2.031

---

Record 22
5
Lattice="5.934 0.000 0.000 0.000 5.934 0.000 0.000 0.000 4.088" Properties=species:S:1:pos:R:3 comment="SbPb2SN | the Alexandria database | PBE | relaxed" e_tot_ev_per_atom=-4.04 pbc="T T T"
Sb 0.000 0.000 0.000
Pb 0.000 2.967 0.000
Pb 2.967 0.000 0.000
S 2.967 2.967 2.044
N 0.000 0.000 2.044

---

Record 23
18
Lattice="7.703 -3.701 0.000 7.703 3.701 0.000 0.000 0.000 7.678" Properties=species:S:1:pos:R:3 comment="Er5Ag2Pd2 | the Alexandria database | PBE | relaxed" formation_energy_ev_per_atom=-0.525 e_tot_ev_per_atom=-4.85 pbc="T T T"
Er 0.000 0.000 0.000
Er 5.680 2.422 5.180
Er 5.680 1.279 1.340
Er 9.726 2.422 5.180
Er 9.726 1.279 1.340
Er 7.703 0.000 3.839
Er 5.680 -1.279 6.338
Er 5.680 -2.422 2.499
Er 9.726 -1.279 6.338
Er 9.726 -2.422 2.499
Ag 3.241 0.000 0.000
Ag 4.462 0.000 3.839
Ag 10.944 0.000 3.839
Ag 12.166 0.000 0.000
Pd 7.703 2.745 2.827
Pd 7.703 0.955 6.666
Pd 7.703 -0.955 1.012
Pd 7.703 -2.745 4.851